[1]
The following is a DFT calculation (GGA-PBE) of a relaxed VIn crystal.

abc: 4.504 4.504 4.504
angles: 60.00 60.00 60.00
Fractional positions:
V: 0.000 0.000 0.000
In: 0.750 0.750 0.750

---

[2]
The following is a DFT calculation (GGA-PBE) of a relaxed BaNa2Ca2 crystal.

abc: 10.192 10.192 4.272
angles: 90.00 90.00 90.00
Fractional positions:
Ba: 0.000 0.000 0.000
Ba: 0.500 0.500 0.000
Na: 0.125 0.375 0.000
Na: 0.375 0.875 0.000
Na: 0.625 0.125 0.000
Na: 0.875 0.625 0.000
Ca: 0.170 0.670 0.500
Ca: 0.330 0.170 0.500
Ca: 0.670 0.830 0.500
Ca: 0.830 0.330 0.500

---

[3]
The following is a DFT calculation (GGA-PBE) of a relaxed SnTe5Pb4 crystal.

Computed properties:
The value obtained for the uncorrected formation energy is -8.8 kcal/mol of atoms.

abc: 16.645 16.645 16.645
angles: 164.07 164.07 22.60
Fractional positions:
Sn: 0.000 0.000 0.000
Te: 0.098 0.098 0.000
Te: 0.300 0.300 0.000
Te: 0.500 0.500 0.000
Te: 0.700 0.700 0.000
Te: 0.902 0.902 0.000
Pb: 0.199 0.199 0.000
Pb: 0.400 0.400 0.000
Pb: 0.600 0.600 0.000
Pb: 0.801 0.801 0.000

---

[4]
The following is a DFT calculation (GGA-PBE) of a relaxed SiTeCl2 crystal.

Computed properties:
The value obtained for the uncorrected formation energy is 3.8 kcal/mol of atoms.

abc: 3.289 4.696 5.872
angles: 90.00 90.00 90.00
Fractional positions:
Si: 0.000 0.000 0.000
Te: 0.500 0.000 0.500
Cl: 0.000 0.500 0.500
Cl: 0.500 0.500 0.000

---

[5]
The following is a DFT calculation (GGA-PBE) of a relaxed KLuAg2 crystal.

abc: 3.688 3.688 8.192
angles: 90.00 90.00 90.00
Fractional positions:
K: 0.000 0.000 0.000
Lu: 0.000 0.000 0.500
Ag: 0.500 0.500 0.316
Ag: 0.500 0.500 0.684

---

[6]
The following is a DFT calculation (GGA-PBE) of a relaxed Rb2TaSnBr6 crystal.

Computed properties:
The value obtained for the uncorrected formation energy is -21.1 kcal/mol of atoms.

abc: 8.006 8.006 8.006
angles: 119.96 119.96 90.07
Fractional positions:
Rb: 0.250 0.750 0.500
Rb: 0.750 0.250 0.500
Ta: 0.000 0.000 0.000
Sn: 0.500 0.500 0.000
Br: 0.236 0.236 0.000
Br: 0.236 0.236 0.472
Br: 0.236 0.764 0.000
Br: 0.764 0.236 0.000
Br: 0.764 0.764 0.000
Br: 0.764 0.764 0.528

---

[7]
The following is a DFT calculation (GGA-PBE) of a relaxed Pa2BeReN6 crystal.

Computed properties:
The value obtained for the uncorrected formation energy is -16.3 kcal/mol of atoms.

abc: 5.186 5.186 4.702
angles: 90.00 90.00 90.00
Fractional positions:
Pa: 0.000 0.500 0.000
Pa: 0.500 0.000 0.000
Be: 0.000 0.000 0.563
Re: 0.500 0.500 0.581
N: 0.000 0.000 0.205
N: 0.248 0.248 0.724
N: 0.248 0.752 0.724
N: 0.500 0.500 0.196
N: 0.752 0.248 0.724
N: 0.752 0.752 0.724

---

[8]
The following is a DFT calculation (GGA-PBE) of a relaxed ReSn3B crystal.

abc: 4.648 4.648 4.648
angles: 90.00 90.00 90.00
Fractional positions:
Re: 0.000 0.000 0.000
Sn: 0.000 0.500 0.500
Sn: 0.500 0.000 0.500
Sn: 0.500 0.500 0.000
B: 0.500 0.500 0.500

---

For each record above, in turn, the calculated uncorrected energy values are -4.388 -1.645 -3.835 -2.902 -2.946 -3.700 -9.219 -4.896 eV/atom.